DyBeCl5 | PBE | relaxed

Cell: 6.8203 6.8203 9.7729 Å, 110.65 110.65 87.16°
Atoms (fractional coordinates):
Dy (0.0000, 0.5000, 0.0000)
Dy (0.5000, 0.0000, 0.5000)
Be (0.1347, 0.8653, 0.7500)
Be (0.8653, 0.1347, 0.2500)
Cl (0.1439, 0.1842, 0.4310)
Cl (0.1668, 0.6240, 0.8333)
Cl (0.1842, 0.1439, 0.9310)
Cl (0.3452, 0.6548, 0.2500)
Cl (0.3760, 0.8332, 0.6667)
Cl (0.6240, 0.1668, 0.3333)
Cl (0.6548, 0.3452, 0.7500)
Cl (0.8158, 0.8561, 0.0690)
Cl (0.8332, 0.3760, 0.1667)
Cl (0.8561, 0.8158, 0.5690)

Output
Fermi-level density of states in states/eV/cell: 0.00
Uncorrected formation energy in eV/atom: -1.866
Space group: C2/c, No. 15
Total moment in μB/f.u.: 0.0
Crystal system: monoclinic



DyBe2Cl8 | PBE | relaxed

Cell: 7.8240 7.8240 6.0594 Å, 96.10 96.10 65.80°
Atoms (fractional coordinates):
Dy (0.0000, 0.0000, 0.0000)
Be (0.1717, 0.1717, 0.6477)
Be (0.8283, 0.8283, 0.3523)
Cl (0.0946, 0.7063, 0.2410)
Cl (0.1640, 0.1640, 0.3092)
Cl (0.2937, 0.9054, 0.7590)
Cl (0.3181, 0.3181, 0.7739)
Cl (0.6819, 0.6819, 0.2261)
Cl (0.7063, 0.0946, 0.2410)
Cl (0.8360, 0.8360, 0.6908)
Cl (0.9054, 0.2937, 0.7590)

Output
Fermi-level density of states in states/eV/cell: 13.46
Uncorrected formation energy in eV/atom: -1.478
Space group: C2/m, No. 12
Total moment in μB/f.u.: 1.1
Crystal system: monoclinic



Dy7BeCl12 | PBE | relaxed

Cell: 8.7256 8.7256 8.7256 Å, 107.71 107.71 107.71°
Atoms (fractional coordinates):
Dy (0.0000, 0.0000, 0.0000)
Dy (0.1744, 0.3866, 0.4666)
Dy (0.3866, 0.4666, 0.1744)
Dy (0.4666, 0.1744, 0.3866)
Dy (0.5334, 0.8256, 0.6134)
Dy (0.6134, 0.5334, 0.8256)
Dy (0.8256, 0.6134, 0.5334)
Be (0.5000, 0.5000, 0.5000)
Cl (0.0274, 0.3362, 0.1111)
Cl (0.1111, 0.0274, 0.3362)
Cl (0.1873, 0.7218, 0.5763)
Cl (0.2782, 0.4237, 0.8127)
Cl (0.3362, 0.1111, 0.0274)
Cl (0.4237, 0.8127, 0.2782)
Cl (0.5763, 0.1873, 0.7218)
Cl (0.6638, 0.8889, 0.9726)
Cl (0.7218, 0.5763, 0.1873)
Cl (0.8127, 0.2782, 0.4237)
Cl (0.8889, 0.9726, 0.6638)
Cl (0.9726, 0.6638, 0.8889)

Output
Fermi-level density of states in states/eV/cell: 10.00
Uncorrected formation energy in eV/atom: -1.813
Space group: R-3, No. 148
Total moment in μB/f.u.: 0.0
Crystal system: trigonal



Dy4BeCl5 | PBE | relaxed

Cell: 9.5272 9.5272 8.0926 Å, 90.32 90.32 23.03°
Atoms (fractional coordinates):
Dy (0.0000, 0.0000, 0.2327)
Dy (0.0000, 0.0000, 0.7673)
Dy (0.3636, 0.3636, 0.9981)
Dy (0.6364, 0.6364, 0.0019)
Be (0.5000, 0.5000, 0.0000)
Cl (0.1546, 0.1546, 0.2411)
Cl (0.1549, 0.1549, 0.7632)
Cl (0.5000, 0.5000, 0.5000)
Cl (0.8451, 0.8451, 0.2368)
Cl (0.8454, 0.8454, 0.7589)

Output
Fermi-level density of states in states/eV/cell: 3.86
Uncorrected formation energy in eV/atom: -1.470
Space group: C2/m, No. 12
Total moment in μB/f.u.: 0.0
Crystal system: monoclinic



RbDyBe2Cl8 | PBE | relaxed

Cell: 10.4949 10.4949 10.4949 Å, 34.54 34.54 34.54°
Atoms (fractional coordinates):
Rb (0.0000, 0.0000, 0.0000)
Dy (0.5000, 0.5000, 0.5000)
Be (0.2448, 0.2448, 0.2448)
Be (0.7552, 0.7552, 0.7552)
Cl (0.0923, 0.4691, 0.7777)
Cl (0.2223, 0.9077, 0.5309)
Cl (0.3107, 0.3107, 0.3107)
Cl (0.4691, 0.7777, 0.0923)
Cl (0.5309, 0.2223, 0.9077)
Cl (0.6893, 0.6893, 0.6893)
Cl (0.7777, 0.0923, 0.4691)
Cl (0.9077, 0.5309, 0.2223)

Output
Fermi-level density of states in states/eV/cell: 0.00
Uncorrected formation energy in eV/atom: -1.792
Space group: R-3, No. 148
Total moment in μB/f.u.: 0.0
Crystal system: trigonal



KErBe2Cl8 | PBE | relaxed

Cell: 10.3142 10.3142 10.3142 Å, 34.87 34.87 34.87°
Atoms (fractional coordinates):
K (0.0000, 0.0000, 0.0000)
Er (0.5000, 0.5000, 0.5000)
Be (0.2458, 0.2458, 0.2458)
Be (0.7542, 0.7542, 0.7542)
Cl (0.0939, 0.7776, 0.4658)
Cl (0.2224, 0.5342, 0.9061)
Cl (0.3129, 0.3129, 0.3129)
Cl (0.4658, 0.0939, 0.7776)
Cl (0.5342, 0.9061, 0.2224)
Cl (0.6871, 0.6871, 0.6871)
Cl (0.7776, 0.4658, 0.0939)
Cl (0.9061, 0.2224, 0.5342)

Output
Fermi-level density of states in states/eV/cell: 0.00
Uncorrected formation energy in eV/atom: -1.776
Space group: R-3, No. 148
Total moment in μB/f.u.: 0.0
Crystal system: trigonal